A relaxed V2CdN crystal, computed with PBE.

Mass density   7.02 g cm⁻³
Formation energy from raw total energies   1.180 eV/atom

Unit cell a=4.2422 b=4.2422 c=4.2422 alpha=60.00 beta=60.00 gamma=60.00
Closest atoms and distances in Å follow each position.
Fractional coordinates of all 4 atoms:
V 0.2500 0.2500 0.2500  4 Cd 2.60, 4 N 2.60
V 0.7500 0.7500 0.7500  4 Cd 2.60, 4 N 2.60
Cd 0.0000 0.0000 0.0000  8 V 2.60
N 0.5000 0.5000 0.5000  8 V 2.60